First-principles (PBE-GGA) data for a geometry-optimized U2Se2N structure, as listed in the Alexandria database.

Unit cell a=9.839 b=9.839 c=9.839 alpha=21.79 beta=21.79 gamma=21.79
Fractional coordinates of all 5 atoms:
U1 0.124 0.124 0.124
U2 0.876 0.876 0.876
Se1 0.272 0.272 0.272
Se2 0.728 0.728 0.728
N1 0.500 0.500 0.500

Results
total moment	3.05	μB/f.u.
total DFT energy (no corrections)	-8.652	eV per atom
energy relative to the elements, uncorrected	-5.4	eV per formula unit
excess energy over the best structure of this formula in the dataset	189	meV per atom
density of states at the Fermi level	1.22	states/eV per atom
symmetry	R-3m